Density functional theory data (PBE) for a relaxed structure of KCuAsBr6.

POSCAR file:
```
KCuAsBr6
1.0
6.8575 0.0000 0.0000
-2.8354 6.2503 0.0000
-0.5180 -0.8037 7.1539
K Cu As Br
1 1 1 6
direct
0.0000 0.0000 0.0000
0.6953 0.3108 0.4972
0.3469 0.6555 0.5009
0.0382 0.3524 0.6704
0.0459 0.6269 0.2641
0.3764 0.9535 0.7397
0.4353 0.3484 0.2698
0.6484 0.9644 0.3283
0.6543 0.5656 0.7276
```

The value obtained for the formation energy from raw total energies is -0.644 eV per atom. The space group is P1, No. 1. As for the crystal system: triclinic.